one:
VASP calculation (GGA+U) on crystalline LiMo3O at its relaxed geometry.

Output
space-group type	Pm-3m, No. 221
total magnetization	9.71	μB/cell
ρ	5.1	Mg/m³

Cell: 4.648 4.648 4.648 Å, 90.00 90.00 90.00°
Site moments in Bohr magnetons follow the coordinates.
Positions (direct):
Mo1 0.000 0.500 0.000  2.93
Mo2 0.000 0.000 0.500  3.19
Mo3 0.500 0.000 0.000  2.81
O1 0.500 0.500 0.500  -0.14
Li1 0.000 0.000 0.000  0.00


two:
VASP calculation (GGA+U) on crystalline LiMo3O at its relaxed geometry.

Output
space-group type	Pm-3m, No. 221
total magnetization	0.00	μB/cell
ρ	7.2	Mg/m³

Cell: 4.148 4.148 4.148 Å, 90.00 90.00 90.00°
Positions (direct):
Mo1 0.000 0.500 0.000
Mo2 0.000 0.000 0.500
Mo3 0.500 0.000 0.000
O1 0.000 0.000 0.000
Li1 0.500 0.500 0.500


Least stable structure among those shown: one.